(1)
NaZrCd2Fe | GGA-PBEsol | optimized geometry

calculated total energy = -2.61 eV per atom
formation energy from the elements = 1.76 eV per atom
DOS at the Fermi energy = 1.57 states/eV per atom
volume = 31.82 A^3/atom
magnetic moment = 0.43 μB per atom

Cell: 5.378 5.378 5.501 Å, 90.00 90.00 90.00°
Positions (direct):
Zr  0.000  0.000  0.000
Cd  0.500  0.000  0.000
Cd  0.000  0.500  0.000
Fe  0.500  0.500  0.500
Na  0.000  0.000  0.500

***

(2)
Zr2ScTe | GGA-PBEsol | optimized geometry

E_form (uncorrected) = -1.63 eV/f.u.
calculated total energy = -7.49 eV per atom
DOS at the Fermi energy = 1.54 states/eV per atom
volume = 21.80 A^3/atom
magnetic moment = 0.00 μB per atom

Cell: 3.695 3.695 6.385 Å, 90.00 90.00 90.00°
Positions (direct):
Zr  0.000  0.000  0.264
Te  0.500  0.500  0.500
Zr  0.000  0.000  0.736
Sc  0.500  0.500  0.000

***

(3)
MgTcAsI2 | GGA-PBEsol | optimized geometry

E_form (uncorrected) = 5.68 eV/f.u.
calculated total energy = -3.19 eV per atom
DOS at the Fermi energy = 1.29 states/eV per atom
volume = 32.03 A^3/atom
magnetic moment = 0.89 μB per atom

Cell: 4.931 5.699 5.699 Å, 90.00 90.00 90.00°
Positions (direct):
I  0.000  0.500  0.000
I  0.000  0.000  0.500
Mg  0.500  0.000  0.000
As  0.000  0.000  0.000
Tc  0.500  0.500  0.500

***

(4)
RbHgPtRh2 | GGA-PBEsol | optimized geometry

calculated total energy = -4.09 eV per atom
formation energy from the elements = 0.87 eV per atom
DOS at the Fermi energy = 1.27 states/eV per atom
volume = 24.64 A^3/atom
magnetic moment = 0.15 μB per atom

Cell: 4.853 4.853 5.232 Å, 90.00 90.00 90.00°
Positions (direct):
Rh  0.500  0.000  0.000
Rb  0.500  0.500  0.500
Pt  0.000  0.000  0.000
Rh  0.000  0.500  0.000
Hg  0.000  0.000  0.500